(1)
Computed, not measured: a relaxed LaCo8P5 crystal at the PBE-GGA level of DFT.

Cell: 3.5672 9.2721 10.4467 Å, 90.00 90.00 90.00°
Fractional positions:
Co 0.7500 0.1508 0.2500
Co 0.2500 0.8492 0.7500
Co 0.2500 0.4790 0.9171
Co 0.7500 0.1109 0.0042
Co 0.7500 0.1109 0.4958
Co 0.2500 0.4790 0.5829
Co 0.2500 0.5470 0.2500
Co 0.7500 0.5210 0.0829
Co 0.7500 0.6959 0.6102
Co 0.2500 0.3041 0.3898
Co 0.2500 0.3041 0.1102
Co 0.2500 0.8891 0.9958
Co 0.2500 0.8891 0.5042
Co 0.7500 0.6959 0.8898
Co 0.7500 0.4530 0.7500
Co 0.7500 0.5210 0.4171
P 0.2500 0.6146 0.7500
P 0.2500 0.0685 0.3706
P 0.7500 0.9315 0.8706
P 0.7500 0.9315 0.6294
P 0.2500 0.6603 0.0567
P 0.7500 0.3397 0.5567
P 0.7500 0.3397 0.9433
P 0.2500 0.6603 0.4433
P 0.2500 0.0685 0.1294
P 0.7500 0.3854 0.2500
La 0.2500 0.1773 0.7500
La 0.7500 0.8227 0.2500

As for the magnetic moment: 0.06 μB per cell. The final energy comes out at -0.260 Ha/atom. Its formation energy from the elements is -0.724 eV/atom.

(2)
Computed, not measured: a relaxed SmDy2Pa crystal at the PBE-GGA level of DFT.

Cell: 3.4147 3.4147 10.2753 Å, 90.00 90.00 90.00°
Fractional positions:
Dy 0.0000 0.0000 0.2307
Dy 0.0000 0.0000 0.7693
Sm 0.5000 0.5000 0.5000
Pa 0.5000 0.5000 0.0000

As for the magnetic moment: 0.00 μB per cell. The final energy comes out at -0.210 Ha/atom. The offset from the most stable computed form comes out at 9.1 meV/atom. Its formation energy from the elements is 0.128 eV/atom.

(3)
Computed, not measured: a relaxed LaScIO2 crystal at the PBE-GGA level of DFT.

Cell: 4.4995 4.4995 6.4040 Å, 90.00 90.00 90.00°
Last column: magnetic moment on the atom in μB.
Fractional positions:
Sc 0.5000 0.5000 0.5000  0.89
La 0.0000 0.0000 0.0000  0.04
O 0.5000 0.0000 0.0000  0.08
O 0.0000 0.5000 0.0000  0.08
I 0.0000 0.0000 0.5000  -0.01

Its formation energy from raw total energies is -1.332 eV/atom. As for the magnetic moment: 1.43 μB per cell. The final energy comes out at -0.216 Ha/atom. The offset from the most stable computed form comes out at 498.2 meV/atom.

(4)
Computed, not measured: a relaxed AlAgMo2 crystal at the PBE-GGA level of DFT.

Cell: 3.4649 4.0769 4.5046 Å, 90.00 90.00 90.00°
Fractional positions:
Al 0.0000 0.5000 0.5000
Mo 0.5000 0.5000 0.0000
Mo 0.0000 0.0000 0.0000
Ag 0.5000 0.0000 0.5000

As for the magnetic moment: 0.00 μB per cell. The final energy comes out at -0.254 Ha/atom. Its formation energy from the elements is 0.150 eV/atom.

(5)
Computed, not measured: a relaxed LiHfMg14 crystal at the PBE-GGA level of DFT.

Cell: 6.3729 6.3729 10.1822 Å, 90.00 90.00 119.51°
Fractional positions:
Li 0.8372 0.1628 0.5000
Mg 0.6681 0.3319 0.2629
Mg 0.6681 0.3319 0.7371
Mg 0.1661 0.3372 0.2560
Mg 0.8328 0.6646 0.0000
Mg 0.1694 0.8306 0.7463
Mg 0.3345 0.6655 0.0000
Mg 0.1661 0.3372 0.7440
Mg 0.8334 0.1666 0.0000
Mg 0.3354 0.1672 0.0000
Mg 0.8380 0.6776 0.5000
Mg 0.3224 0.1620 0.5000
Mg 0.6628 0.8339 0.2560
Mg 0.6628 0.8339 0.7440
Mg 0.1694 0.8306 0.2537
Hf 0.3336 0.6664 0.5000

As for the magnetic moment: 0.00 μB per cell. The final energy comes out at -0.077 Ha/atom. The offset from the most stable computed form comes out at 20.4 meV/atom. Its formation energy from the elements is 0.046 eV/atom.

(6)
Computed, not measured: a relaxed MgCdTe2P crystal at the PBE-GGA level of DFT.

Cell: 5.5800 4.7067 5.5800 Å, 90.00 90.00 90.00°
Fractional positions:
P 0.0000 0.5000 0.0000
Te 0.5000 0.0000 0.0000
Te 0.0000 0.0000 0.5000
Cd 0.5000 0.5000 0.5000
Mg 0.0000 0.0000 0.0000

Its formation energy from raw total energies is 0.421 eV/atom. As for the magnetic moment: 0.00 μB per cell. The final energy comes out at -0.089 Ha/atom.

(7)
Computed, not measured: a relaxed KRe2SiPt crystal at the PBE-GGA level of DFT.

Cell: 5.1757 4.5617 5.1757 Å, 90.00 90.00 90.00°
Last column: magnetic moment on the atom in μB.
Fractional positions:
Pt 0.0000 0.0000 0.0000  0.28
K 0.5000 0.5000 0.5000  0.02
Si 0.0000 0.5000 0.0000  -0.04
Re 0.5000 0.0000 0.0000  2.31
Re 0.0000 0.0000 0.5000  2.70

Its formation energy from raw total energies is 1.778 eV/atom. As for the magnetic moment: 6.00 μB per cell. The final energy comes out at -0.210 Ha/atom.

(8)
Computed, not measured: a relaxed Mn2InPb crystal at the PBE-GGA level of DFT.

Cell: 9.4590 9.4590 9.4590 Å, 19.77 19.77 19.77°
Last column: magnetic moment on the atom in μB.
Fractional positions:
Mn 0.9893 0.9893 0.9893  -3.24
Mn 0.2650 0.2650 0.2650  3.37
In 0.7356 0.7356 0.7356  0.01
Pb 0.5101 0.5101 0.5101  -0.01

As for the magnetic moment: 0.15 μB per cell. The final energy comes out at -0.213 Ha/atom. The offset from the most stable computed form comes out at 134.1 meV/atom. Its formation energy from the elements is 0.410 eV/atom.